1.
Here is Pu3Bi5Te12 after structural relaxation from Alexandria. Energies are from PBE-GGA.

Summary:
As for the symmetry: Ia-3d. The density of states at the Fermi level comes out at 38.810 states/eV/f.u. For the final energy, the calculation gives -5.361 eV per atom.

a = 15.9661 Å, b = 15.9661 Å, c = 15.9661 Å
α = 109.47°, β = 109.47°, γ = 109.47°
Last column: nearest neighbours and their distance in Å.
Positions (direct):
Pu1 0.1250 0.2500 0.3750  8 Te 3.36
Pu2 0.1250 0.3750 0.7500  8 Te 3.36
Pu3 0.2500 0.3750 0.1250  8 Te 3.36
Pu4 0.2500 0.8750 0.6250  8 Te 3.36
Pu5 0.3750 0.1250 0.2500  8 Te 3.36
Pu6 0.3750 0.7500 0.1250  8 Te 3.36
Pu7 0.6250 0.2500 0.8750  8 Te 3.36
Pu8 0.6250 0.8750 0.7500  8 Te 3.36
Pu9 0.7500 0.1250 0.3750  8 Te 3.36
Pu10 0.7500 0.6250 0.8750  8 Te 3.36
Pu11 0.8750 0.6250 0.2500  8 Te 3.36
Pu12 0.8750 0.7500 0.6250  8 Te 3.36
Bi1 0.0000 0.0000 0.0000  6 Te 3.13
Bi2 0.0000 0.0000 0.5000  6 Te 3.13
Bi3 0.0000 0.5000 0.0000  6 Te 3.13
Bi4 0.0000 0.5000 0.5000  6 Te 3.13
Bi5 0.1250 0.7500 0.8750  4 Te 3.01
Bi6 0.1250 0.8750 0.2500  4 Te 3.01
Bi7 0.2500 0.1250 0.8750  4 Te 3.01
Bi8 0.2500 0.6250 0.3750  4 Te 3.01
Bi9 0.3750 0.2500 0.6250  4 Te 3.01
Bi10 0.3750 0.6250 0.7500  4 Te 3.01
Bi11 0.5000 0.0000 0.0000  6 Te 3.13
Bi12 0.5000 0.0000 0.5000  6 Te 3.13
Bi13 0.5000 0.5000 0.0000  6 Te 3.13
Bi14 0.5000 0.5000 0.5000  6 Te 3.13
Bi15 0.6250 0.3750 0.2500  4 Te 3.01
Bi16 0.6250 0.7500 0.3750  4 Te 3.01
Bi17 0.7500 0.3750 0.6250  4 Te 3.01
Bi18 0.7500 0.8750 0.1250  4 Te 3.01
Bi19 0.8750 0.1250 0.7500  4 Te 3.01
Bi20 0.8750 0.2500 0.1250  4 Te 3.01
Te1 0.0570 0.2245 0.1407  2 Bi 3.01-3.13, 2 Pu 3.36
Te2 0.0570 0.3325 0.9163  2 Bi 3.01-3.13, 2 Pu 3.36
Te3 0.0837 0.6407 0.4162  2 Bi 3.01-3.13, 2 Pu 3.36
Te4 0.0838 0.7245 0.6675  2 Bi 3.01-3.13, 2 Pu 3.36
Te5 0.0838 0.8593 0.4163  2 Bi 3.01-3.13, 2 Pu 3.36
Te6 0.0837 0.9430 0.6675  2 Bi 3.01-3.13, 2 Pu 3.36
Te7 0.1407 0.0570 0.2245  2 Bi 3.01-3.13, 2 Pu 3.36
Te8 0.1407 0.5837 0.9162  2 Bi 3.01-3.13, 2 Pu 3.36
Te9 0.1675 0.2245 0.5838  2 Bi 3.01-3.13, 2 Pu 3.36
Te10 0.1675 0.4430 0.5837  2 Bi 3.01-3.13, 2 Pu 3.36
Te11 0.2245 0.1407 0.0570  2 Bi 3.01-3.13, 2 Pu 3.36
Te12 0.2245 0.5838 0.1675  2 Bi 3.01-3.13, 2 Pu 3.36
Te13 0.2755 0.3325 0.9162  2 Bi 3.01-3.13, 2 Pu 3.36
Te14 0.2755 0.4430 0.3593  2 Bi 3.01-3.13, 2 Pu 3.36
Te15 0.3325 0.9163 0.0570  2 Bi 3.01-3.13, 2 Pu 3.36
Te16 0.3325 0.9162 0.2755  2 Bi 3.01-3.13, 2 Pu 3.36
Te17 0.3593 0.2755 0.4430  2 Bi 3.01-3.13, 2 Pu 3.36
Te18 0.3593 0.5838 0.9163  2 Bi 3.01-3.13, 2 Pu 3.36
Te19 0.4162 0.0837 0.6407  2 Bi 3.01-3.13, 2 Pu 3.36
Te20 0.4163 0.0838 0.8593  2 Bi 3.01-3.13, 2 Pu 3.36
Te21 0.4163 0.8325 0.5570  2 Bi 3.01-3.13, 2 Pu 3.36
Te22 0.4162 0.8325 0.7755  2 Bi 3.01-3.13, 2 Pu 3.36
Te23 0.4430 0.3593 0.2755  2 Bi 3.01-3.13, 2 Pu 3.36
Te24 0.4430 0.5837 0.1675  2 Bi 3.01-3.13, 2 Pu 3.36
Te25 0.5570 0.4163 0.8325  2 Bi 3.01-3.13, 2 Pu 3.36
Te26 0.5570 0.6407 0.7245  2 Bi 3.01-3.13, 2 Pu 3.36
Te27 0.5838 0.1675 0.2245  2 Bi 3.01-3.13, 2 Pu 3.36
Te28 0.5837 0.1675 0.4430  2 Bi 3.01-3.13, 2 Pu 3.36
Te29 0.5837 0.9162 0.1407  2 Bi 3.01-3.13, 2 Pu 3.36
Te30 0.5838 0.9163 0.3593  2 Bi 3.01-3.13, 2 Pu 3.36
Te31 0.6407 0.4162 0.0837  2 Bi 3.01-3.13, 2 Pu 3.36
Te32 0.6407 0.7245 0.5570  2 Bi 3.01-3.13, 2 Pu 3.36
Te33 0.6675 0.0838 0.7245  2 Bi 3.01-3.13, 2 Pu 3.36
Te34 0.6675 0.0837 0.9430  2 Bi 3.01-3.13, 2 Pu 3.36
Te35 0.7245 0.5570 0.6407  2 Bi 3.01-3.13, 2 Pu 3.36
Te36 0.7245 0.6675 0.0838  2 Bi 3.01-3.13, 2 Pu 3.36
Te37 0.7755 0.4162 0.8325  2 Bi 3.01-3.13, 2 Pu 3.36
Te38 0.7755 0.8593 0.9430  2 Bi 3.01-3.13, 2 Pu 3.36
Te39 0.8325 0.5570 0.4163  2 Bi 3.01-3.13, 2 Pu 3.36
Te40 0.8325 0.7755 0.4162  2 Bi 3.01-3.13, 2 Pu 3.36
Te41 0.8593 0.4163 0.0838  2 Bi 3.01-3.13, 2 Pu 3.36
Te42 0.8593 0.9430 0.7755  2 Bi 3.01-3.13, 2 Pu 3.36
Te43 0.9163 0.0570 0.3325  2 Bi 3.01-3.13, 2 Pu 3.36
Te44 0.9162 0.1407 0.5837  2 Bi 3.01-3.13, 2 Pu 3.36
Te45 0.9162 0.2755 0.3325  2 Bi 3.01-3.13, 2 Pu 3.36
Te46 0.9163 0.3593 0.5838  2 Bi 3.01-3.13, 2 Pu 3.36
Te47 0.9430 0.6675 0.0837  2 Bi 3.01-3.13, 2 Pu 3.36
Te48 0.9430 0.7755 0.8593  2 Bi 3.01-3.13, 2 Pu 3.36

---

2.
Here is Pu5BiTe4 after structural relaxation from Alexandria. Energies are from PBE-GGA.

Summary:
As for the symmetry: I4/m. The density of states at the Fermi level comes out at 61.372 states/eV/f.u. For the final energy, the calculation gives -9.727 eV per atom.

a = 7.7301 Å, b = 7.7301 Å, c = 7.7301 Å
α = 99.57°, β = 99.57°, γ = 131.88°
Last column: nearest neighbours and their distance in Å.
Positions (direct):
Pu1 0.0000 0.0000 0.0000  2 Bi 3.15, 4 Te 3.18
Pu2 0.1970 0.6013 0.7983  5 Te 3.13-3.15, 1 Bi 3.19
Pu3 0.3987 0.1970 0.5957  5 Te 3.13-3.15, 1 Bi 3.19
Pu4 0.6013 0.8030 0.4043  5 Te 3.13-3.15, 1 Bi 3.19
Pu5 0.8030 0.3987 0.2017  5 Te 3.13-3.15, 1 Bi 3.19
Bi1 0.5000 0.5000 0.0000  6 Pu 3.15-3.19
Te1 0.1016 0.3019 0.4035  6 Pu 3.13-3.18
Te2 0.3019 0.8984 0.2002  6 Pu 3.13-3.18
Te3 0.6981 0.1016 0.7998  6 Pu 3.13-3.18
Te4 0.8984 0.6981 0.5965  6 Pu 3.13-3.18

---

3.
Here is PuThBiTe after structural relaxation from Alexandria. Energies are from PBE-GGA.

Summary:
As for the symmetry: P4/mmm. The density of states at the Fermi level comes out at 13.724 states/eV/f.u. For the final energy, the calculation gives -7.951 eV per atom. As for the relative energy among the computed polymorphs: 0.0000 eV/atom.

a = 4.5144 Å, b = 4.5144 Å, c = 6.3843 Å
α = 90.00°, β = 90.00°, γ = 90.00°
Last column: nearest neighbours and their distance in Å.
Positions (direct):
Pu1 0.0000 0.0000 0.0000  4 Bi 3.19, 2 Te 3.19
Th1 0.5000 0.5000 0.5000  4 Te 3.19, 2 Bi 3.19
Bi1 0.5000 0.5000 0.0000  4 Pu 3.19, 2 Th 3.19
Te1 0.0000 0.0000 0.5000  4 Th 3.19, 2 Pu 3.19

---

4.
Here is PuThBiTe after structural relaxation from Alexandria. Energies are from PBE-GGA.

Summary:
As for the symmetry: F-43m. The density of states at the Fermi level comes out at 7.703 states/eV/f.u. For the final energy, the calculation gives -7.911 eV per atom. As for the relative energy among the computed polymorphs: 0.0401 eV/atom.

a = 5.4911 Å, b = 5.4911 Å, c = 5.4911 Å
α = 60.00°, β = 60.00°, γ = 60.00°
Last column: nearest neighbours and their distance in Å.
Positions (direct):
Pu1 0.0000 0.0000 0.0000  4 Bi 3.36, 4 Te 3.36
Th1 0.5000 0.5000 0.5000  4 Bi 3.36, 4 Te 3.36
Bi1 0.7500 0.7500 0.7500  4 Th 3.36, 4 Pu 3.36
Te1 0.2500 0.2500 0.2500  4 Th 3.36, 4 Pu 3.36

---

5.
Here is Pu2Tl3BiTe6 after structural relaxation from Alexandria. Energies are from PBE-GGA.

Summary:
As for the symmetry: C2/m. The density of states at the Fermi level comes out at 25.296 states/eV/f.u. For the final energy, the calculation gives -5.490 eV per atom.

a = 7.8468 Å, b = 7.8468 Å, c = 8.5157 Å
α = 98.84°, β = 98.84°, γ = 120.01°
Last column: nearest neighbours and their distance in Å.
Positions (direct):
Pu1 0.1667 0.8333 0.0000  6 Te 3.13
Pu2 0.8333 0.1667 0.0000  6 Te 3.13
Tl1 0.0000 0.0000 0.5000  6 Te 3.45-3.50
Tl2 0.3332 0.6668 0.5000  6 Te 3.45-3.50
Tl3 0.6668 0.3332 0.5000  6 Te 3.45-3.50
Bi1 0.5000 0.5000 0.0000  6 Te 3.19
Te1 0.0888 0.4278 0.7834  2 Pu 3.13, 1 Bi 3.19, 3 Tl 3.45-3.50
Te2 0.2330 0.2330 0.2167  2 Pu 3.13, 1 Bi 3.19, 3 Tl 3.45-3.50
Te3 0.4278 0.0888 0.7834  2 Pu 3.13, 1 Bi 3.19, 3 Tl 3.45-3.50
Te4 0.5722 0.9112 0.2166  2 Pu 3.13, 1 Bi 3.19, 3 Tl 3.45-3.50
Te5 0.7670 0.7670 0.7833  2 Pu 3.13, 1 Bi 3.19, 3 Tl 3.45-3.50
Te6 0.9112 0.5722 0.2166  2 Pu 3.13, 1 Bi 3.19, 3 Tl 3.45-3.50

---

6.
Here is PuTl3Bi2Te6 after structural relaxation from Alexandria. Energies are from PBE-GGA.

Summary:
As for the symmetry: C2/m. The density of states at the Fermi level comes out at 14.605 states/eV/f.u. For the final energy, the calculation gives -4.452 eV per atom.

a = 7.9183 Å, b = 7.9183 Å, c = 8.4310 Å
α = 99.00°, β = 99.00°, γ = 119.97°
Last column: nearest neighbours and their distance in Å.
Positions (direct):
Pu1 0.0000 0.0000 0.0000  6 Te 3.16
Tl1 0.1674 0.8326 0.5000  6 Te 3.46-3.47
Tl2 0.5000 0.5000 0.5000  6 Te 3.46-3.47
Tl3 0.8326 0.1674 0.5000  6 Te 3.46-3.47
Bi1 0.3338 0.6662 0.0000  6 Te 3.17-3.18
Bi2 0.6662 0.3338 0.0000  6 Te 3.17-3.18
Te1 0.0733 0.4052 0.2198  1 Pu 3.16, 2 Bi 3.18, 3 Tl 3.46-3.47
Te2 0.2585 0.2585 0.7803  1 Pu 3.16, 2 Bi 3.17, 3 Tl 3.47
Te3 0.4052 0.0733 0.2198  1 Pu 3.16, 2 Bi 3.18, 3 Tl 3.46-3.47
Te4 0.5948 0.9267 0.7802  1 Pu 3.16, 2 Bi 3.18, 3 Tl 3.46-3.47
Te5 0.7415 0.7415 0.2197  1 Pu 3.16, 2 Bi 3.17, 3 Tl 3.47
Te6 0.9267 0.5948 0.7802  1 Pu 3.16, 2 Bi 3.18, 3 Tl 3.46-3.47

---

7.
Here is YPuBiTe after structural relaxation from Alexandria. Energies are from PBE-GGA.

Summary:
As for the symmetry: R3m. The density of states at the Fermi level comes out at 12.646 states/eV/f.u. For the final energy, the calculation gives -7.903 eV per atom.

a = 7.7197 Å, b = 7.7197 Å, c = 7.7197 Å
α = 33.65°, β = 33.65°, γ = 33.65°
Last column: nearest neighbours and their distance in Å.
Positions (direct):
Y1 0.0000 0.0000 0.0000  3 Bi 3.14, 3 Te 3.14
Pu1 0.5010 0.5010 0.5010  3 Te 3.16, 3 Bi 3.19
Bi1 0.7486 0.7486 0.7486  3 Y 3.14, 3 Pu 3.19
Te1 0.2513 0.2513 0.2513  3 Y 3.14, 3 Pu 3.16

---

8.
Here is PuTh2Bi after structural relaxation from Alexandria. Energies are from PBE-GGA.

Summary:
As for the symmetry: Fm-3m. The density of states at the Fermi level comes out at 11.603 states/eV/f.u. For the final energy, the calculation gives -8.347 eV per atom. As for the relative energy among the computed polymorphs: 0.1479 eV/atom. Its formation energy is -0.084 eV/atom.

a = 5.5200 Å, b = 5.5200 Å, c = 5.5200 Å
α = 60.00°, β = 60.00°, γ = 60.00°
Last column: nearest neighbours and their distance in Å.
Positions (direct):
Pu1 0.0000 0.0000 0.0000  8 Th 3.38
Th1 0.2500 0.2500 0.2500  4 Bi 3.38, 4 Pu 3.38
Th2 0.7500 0.7500 0.7500  4 Pu 3.38, 4 Bi 3.38
Bi1 0.5000 0.5000 0.5000  8 Th 3.38

---

9.
Here is Pu2ThBi3 after structural relaxation from Alexandria. Energies are from PBE-GGA.

Summary:
As for the symmetry: Immm. The density of states at the Fermi level comes out at 28.232 states/eV/f.u. For the final energy, the calculation gives -8.408 eV per atom. Its formation energy is -0.454 eV/atom.

a = 7.9058 Å, b = 7.9058 Å, c = 7.9058 Å
α = 146.32°, β = 131.74°, γ = 60.14°
Last column: nearest neighbours and their distance in Å.
Positions (direct):
Pu1 0.1660 0.1660 0.0000  6 Bi 3.22-3.23
Pu2 0.8340 0.8340 0.0000  6 Bi 3.22-3.23
Th1 0.5000 0.5000 0.0000  6 Bi 3.23-3.25
Bi1 0.0000 0.5000 0.5000  4 Pu 3.23, 2 Th 3.23
Bi2 0.3316 0.8316 0.5000  4 Pu 3.22-3.23, 2 Th 3.25
Bi3 0.6684 0.1684 0.5000  4 Pu 3.22-3.23, 2 Th 3.25

---

10.
Here is PuTh4Bi5 after structural relaxation from Alexandria. Energies are from PBE-GGA.

Summary:
As for the symmetry: I4/m. The density of states at the Fermi level comes out at 18.652 states/eV/f.u. For the final energy, the calculation gives -6.884 eV per atom. Its formation energy is -0.543 eV/atom.

a = 7.9528 Å, b = 7.9528 Å, c = 7.9528 Å
α = 99.58°, β = 99.58°, γ = 131.85°
Last column: nearest neighbours and their distance in Å.
Positions (direct):
Pu1 0.0000 0.0000 0.0000  6 Bi 3.22-3.24
Th1 0.2002 0.5992 0.7994  6 Bi 3.24-3.27
Th2 0.4008 0.2002 0.6010  6 Bi 3.24-3.27
Th3 0.5992 0.7998 0.3990  6 Bi 3.24-3.27
Th4 0.7998 0.4008 0.2006  6 Bi 3.24-3.27
Bi1 0.0992 0.2977 0.3969  1 Pu 3.22, 5 Th 3.24-3.27
Bi2 0.2977 0.9008 0.1984  1 Pu 3.22, 5 Th 3.24-3.27
Bi3 0.5000 0.5000 0.0000  4 Th 3.24, 2 Pu 3.24
Bi4 0.7024 0.0992 0.8016  1 Pu 3.22, 5 Th 3.24-3.27
Bi5 0.9008 0.7024 0.6031  1 Pu 3.22, 5 Th 3.24-3.27

---

11.
Here is PuThBi after structural relaxation from Alexandria. Energies are from PBE-GGA.

Summary:
As for the symmetry: I4/mmm. The density of states at the Fermi level comes out at 4.882 states/eV/f.u. For the final energy, the calculation gives -8.316 eV per atom. As for the relative energy among the computed polymorphs: 0.5345 eV/atom. Its formation energy is 0.228 eV/atom.

a = 14.0345 Å, b = 14.0345 Å, c = 14.0345 Å
α = 166.00°, β = 166.00°, γ = 19.85°
Last column: nearest neighbours and their distance in Å.
Positions (direct):
Pu1 0.2368 0.2368 0.0000  4 Pu 2.53
Pu2 0.7632 0.7632 0.0000  4 Pu 2.53
Th1 0.0615 0.0615 0.0000  5 Th 3.40-3.42, 4 Bi 3.46
Th2 0.9385 0.9385 0.0000  5 Th 3.40-3.42, 4 Bi 3.46
Bi1 0.3492 0.3492 0.0000  5 Pu 3.11-3.39, 4 Bi 3.42, 4 Th 3.46
Bi2 0.6508 0.6508 0.0000  5 Pu 3.11-3.39, 4 Bi 3.42, 4 Th 3.46

---

12.
Here is PuTh2Bi3 after structural relaxation from Alexandria. Energies are from PBE-GGA.

Summary:
As for the symmetry: Immm. The density of states at the Fermi level comes out at 16.557 states/eV/f.u. For the final energy, the calculation gives -7.332 eV per atom. Its formation energy is -0.529 eV/atom.

a = 7.9302 Å, b = 7.9302 Å, c = 7.9302 Å
α = 146.32°, β = 131.71°, γ = 60.17°
Last column: nearest neighbours and their distance in Å.
Positions (direct):
Pu1 0.0000 0.0000 0.0000  6 Bi 3.22-3.24
Th1 0.3326 0.3326 0.0000  6 Bi 3.24-3.26
Th2 0.6674 0.6674 0.0000  6 Bi 3.24-3.26
Bi1 0.1645 0.6645 0.5000  2 Pu 3.22, 4 Th 3.24-3.26
Bi2 0.5000 0.0000 0.5000  2 Pu 3.24, 4 Th 3.25
Bi3 0.8355 0.3355 0.5000  2 Pu 3.22, 4 Th 3.24-3.26